(1)
Entry from Alexandria: a geometry-optimized MnVCl2 structure (PBE).

## Properties
As for the magnetization: 1.8856 μB per atom. The relative energy among the computed polymorphs is 294 meV per atom.

abc: 6.828 6.828 6.828
angles: 131.08 131.08 71.69
Atoms (fractional coordinates):
Mn 0.000 0.000 0.000
Mn 0.750 0.250 0.500
V 0.250 0.750 0.500
V 0.500 0.500 0.000
Cl 0.123 0.625 0.998
Cl 0.375 0.373 0.498
Cl 0.627 0.125 0.002
Cl 0.875 0.877 0.502

***

(2)
Entry from Alexandria: a geometry-optimized RbZnHg2 structure (PBE).

## Properties
As for the magnetization: 0.0000 μB per atom. Its formation enthalpy at 0 K is -0.31 eV per formula unit. The relative energy among the computed polymorphs is 8 meV per atom.

abc: 6.920 6.920 6.920
angles: 41.56 41.56 41.56
Atoms (fractional coordinates):
Rb 0.000 0.000 0.000
Zn 0.807 0.807 0.807
Hg 0.199 0.199 0.199
Hg 0.466 0.466 0.466